Entry 1:
Density functional theory data (GGA-PBE) for crystalline Dy2Er3Cd at its relaxed geometry.

The value obtained for the formation energy is 0.158 eV per atom. The value obtained for the total moment is 0.0 Bohr magnetons per cell. The polymorph energy (0 for the lowest one) comes out at 0.249 eV per atom. For the density of states at the Fermi level, the calculation gives 13.62 states/eV/cell. The value obtained for the theoretical density is 8.39 g/cm3.

It has space group Imm2 (No. 44), with a = 3.429 Å, b = 16.807 Å, c = 6.452 Å, α = 90.00°, β = 90.00° and γ = 90.00°. The distinct sites, in fractional coordinates, are Dy at (0.000, 0.192, 0.000), Er at (0.000, 0.132, 0.495), Er at (0.000, 0.500, 0.690) and Cd at (0.000, 0.000, 0.800).

***

Entry 2:
Density functional theory data (GGA-PBE) for crystalline La2MgTeRu at its relaxed geometry.

The uncorrected formation energy is -3.17 eV/f.u. The value obtained for the total moment is 0.0 Bohr magnetons per cell. For the density of states at the Fermi level, the calculation gives 4.31 states/eV/cell. The value obtained for the theoretical density is 5.95 g/cm3.

It has space group P4/mmm (No. 123), with a = 5.390 Å, b = 5.390 Å, c = 5.096 Å, α = 90.00°, β = 90.00° and γ = 90.00°. The distinct sites, in fractional coordinates, are La at (0.000, 0.500, 0.000), Mg at (0.000, 0.000, 0.500), Te at (0.500, 0.500, 0.500) and Ru at (0.000, 0.000, 0.000).

***

Entry 3:
Density functional theory data (GGA-PBE) for crystalline Pr14DyEr at its relaxed geometry.

The value obtained for the formation energy is 0.013 eV per atom. The value obtained for the total moment is 0.0 Bohr magnetons per cell. For the density of states at the Fermi level, the calculation gives 25.11 states/eV/cell. The value obtained for the theoretical density is 6.73 g/cm3.

It has space group P4/mmm (No. 123), with a = 7.374 Å, b = 7.374 Å, c = 10.448 Å, α = 90.00°, β = 90.00° and γ = 90.00°. The distinct sites, in fractional coordinates, are Pr at (0.000, 0.000, 0.000), Pr at (0.000, 0.500, 0.000), Pr at (0.000, 0.500, 0.500), Pr at (0.250, 0.250, 0.253), Pr at (0.500, 0.500, 0.000), Dy at (0.000, 0.000, 0.500) and Er at (0.500, 0.500, 0.500).

***

Entry 4:
Density functional theory data (GGA-PBE) for crystalline Cs2CuNCl6 at its relaxed geometry.

The uncorrected formation energy is -5.44 eV/f.u. The value obtained for the total moment is 2.6 Bohr magnetons per cell. For the density of states at the Fermi level, the calculation gives 7.98 states/eV/cell. The value obtained for the theoretical density is 3.42 g/cm3.

It has space group I4/mmm (No. 139), with a = 6.913 Å, b = 6.913 Å, c = 11.299 Å, α = 90.00°, β = 90.00° and γ = 90.00°. The distinct sites, in fractional coordinates, are Cs at (0.000, 0.500, 0.250), Cu at (0.000, 0.000, 0.000), N at (0.000, 0.000, 0.500), Cl at (0.000, 0.000, 0.192) and Cl at (0.225, 0.225, 0.500).

***

Entry 5:
Density functional theory data (GGA-PBE) for crystalline Mg2CoMo at its relaxed geometry.

The value obtained for the formation energy is 0.260 eV per atom. The value obtained for the total moment is 0.0 Bohr magnetons per cell. The polymorph energy (0 for the lowest one) comes out at 0.149 eV per atom. For the density of states at the Fermi level, the calculation gives 2.62 states/eV/cell. The value obtained for the theoretical density is 5.22 g/cm3.

It has space group Pm (No. 6), with a = 2.796 Å, b = 4.181 Å, c = 5.676 Å, α = 90.00°, β = 102.93° and γ = 90.00°. The distinct sites, in fractional coordinates, are Mg at (0.000, 0.000, 0.000), Mg at (0.313, 0.500, 0.715), Co at (0.562, 0.000, 0.451) and Mo at (0.681, 0.500, 0.265).

***

Entry 6:
Density functional theory data (GGA-PBE) for crystalline Cs2NpBr3Cl3 at its relaxed geometry.

The uncorrected formation energy is -14.28 eV/f.u. The value obtained for the total moment is 3.0 Bohr magnetons per cell. For the density of states at the Fermi level, the calculation gives 8.43 states/eV/cell. The value obtained for the theoretical density is 4.68 g/cm3.

It has space group P-62m (No. 189), with a = 8.8828 Å, b = 8.8828 Å, c = 4.4101 Å, α = 90.00°, β = 90.00° and γ = 120.00°. The distinct sites, in fractional coordinates, are Cs at (0.3333, 0.6667, 0.0000), Np at (0.0000, 0.0000, 0.5000), Br at (0.0000, 0.3364, 0.5000) and Cl at (0.0000, 0.7905, 0.0000).

***

Entry 7:
Density functional theory data (GGA-PBE) for crystalline Dy8Th2Sc at its relaxed geometry.

The value obtained for the formation energy is 0.188 eV per atom. The value obtained for the total moment is 0.0 Bohr magnetons per cell. The polymorph energy (0 for the lowest one) comes out at 0.000 eV per atom. For the density of states at the Fermi level, the calculation gives 31.26 states/eV/cell. The value obtained for the theoretical density is 8.58 g/cm3.

It has space group C2/m (No. 12), with a = 16.519 Å, b = 6.583 Å, c = 6.552 Å, α = 90.00°, β = 100.72° and γ = 90.00°. The distinct sites, in fractional coordinates, are Dy at (0.083, 0.242, 0.392), Dy at (0.093, 0.000, 0.908), Dy at (0.192, 0.500, 0.819), Th at (0.248, 0.500, 0.341) and Sc at (0.000, 0.500, 0.000).

***

Entry 8:
Density functional theory data (GGA-PBE) for crystalline Ac2ZnInCu6 at its relaxed geometry.

The value obtained for the formation energy is -0.129 eV per atom. The value obtained for the total moment is 0.0 Bohr magnetons per cell. For the density of states at the Fermi level, the calculation gives 10.88 states/eV/cell. The value obtained for the theoretical density is 8.12 g/cm3.

It has space group C2/m (No. 12), with a = 12.146 Å, b = 5.334 Å, c = 8.596 Å, α = 90.00°, β = 131.76° and γ = 90.00°. The distinct sites, in fractional coordinates, are Ac at (0.245, 0.000, 0.293), Zn at (0.000, 0.500, 0.000), In at (0.000, 0.000, 0.500), Cu at (0.031, 0.257, 0.787) and Cu at (0.248, 0.500, 0.078).

***

Entry 9:
Density functional theory data (GGA-PBE) for crystalline ErCuGe at its relaxed geometry.

The value obtained for the formation energy is -0.359 eV per atom. The value obtained for the total moment is 0.0 Bohr magnetons per cell. For the density of states at the Fermi level, the calculation gives 3.52 states/eV/cell. The value obtained for the theoretical density is 8.58 g/cm3.

It has space group P-3m1 (No. 164), with a = 4.3338 Å, b = 4.3338 Å, c = 7.2178 Å, α = 90.00°, β = 90.00° and γ = 120.00°. The distinct sites, in fractional coordinates, are Er at (0.0000, 0.0000, 0.2359), Cu at (0.3333, 0.6667, 0.0112) and Ge at (0.3333, 0.6667, 0.4639).

***

Entry 10:
Density functional theory data (GGA-PBE) for crystalline YGa2Sn2 at its relaxed geometry.

The value obtained for the formation energy is -0.180 eV per atom. The value obtained for the total moment is 0.0 Bohr magnetons per cell. The polymorph energy (0 for the lowest one) comes out at 0.157 eV per atom. For the density of states at the Fermi level, the calculation gives 5.22 states/eV/cell. The value obtained for the theoretical density is 6.16 g/cm3.

It has space group I4/mmm (No. 139), with a = 4.092 Å, b = 4.092 Å, c = 14.998 Å, α = 90.00°, β = 90.00° and γ = 90.00°. The distinct sites, in fractional coordinates, are Y at (0.000, 0.000, 0.000), Ga at (0.000, 0.500, 0.250) and Sn at (0.000, 0.000, 0.397).

***

Entry 11:
Density functional theory data (GGA-PBE) for crystalline Ce3TeO3 at its relaxed geometry.

The uncorrected formation energy is -19.11 eV/f.u. The value obtained for the total moment is 8.1 Bohr magnetons per cell. The polymorph energy (0 for the lowest one) comes out at 0.032 eV per atom. For the density of states at the Fermi level, the calculation gives 25.97 states/eV/cell. The value obtained for the theoretical density is 6.51 g/cm3.

It has space group P2_1/m (No. 11), with a = 8.957 Å, b = 4.011 Å, c = 9.019 Å, α = 90.00°, β = 110.18° and γ = 90.00°. The distinct sites, in fractional coordinates, are Ce at (0.058, 0.250, 0.194), Ce at (0.297, 0.750, 0.567), Ce at (0.310, 0.250, 0.920), Te at (0.395, 0.750, 0.234), O at (0.058, 0.250, 0.919), O at (0.187, 0.250, 0.463) and O at (0.205, 0.750, 0.780).

***

Entry 12:
Density functional theory data (GGA-PBE) for crystalline YAgPb2Au at its relaxed geometry.

The value obtained for the formation energy is 0.445 eV per atom. The value obtained for the total moment is 0.0 Bohr magnetons per cell. For the density of states at the Fermi level, the calculation gives 5.61 states/eV/cell. The value obtained for the theoretical density is 7.52 g/cm3.

It has space group P4/mmm (No. 123), with a = 5.401 Å, b = 5.401 Å, c = 6.120 Å, α = 90.00°, β = 90.00° and γ = 90.00°. The distinct sites, in fractional coordinates, are Y at (0.000, 0.000, 0.000), Ag at (0.000, 0.000, 0.500), Pb at (0.000, 0.500, 0.500) and Au at (0.500, 0.500, 0.000).

***

Entry 13:
Density functional theory data (GGA-PBE) for crystalline BeHgPb2 at its relaxed geometry.

The value obtained for the formation energy is 0.505 eV per atom. The value obtained for the total moment is 0.0 Bohr magnetons per cell. The polymorph energy (0 for the lowest one) comes out at 0.193 eV per atom. For the density of states at the Fermi level, the calculation gives 3.70 states/eV/cell. The value obtained for the theoretical density is 10.27 g/cm3.

It has space group I-4m2 (No. 119), with a = 4.379 Å, b = 4.379 Å, c = 10.529 Å, α = 90.00°, β = 90.00° and γ = 90.00°. The distinct sites, in fractional coordinates, are Be at (0.000, 0.000, 0.000), Hg at (0.000, 0.500, 0.750), Pb at (0.000, 0.000, 0.500) and Pb at (0.000, 0.500, 0.250).